1.
## DyY2Te2 (PBE)

Data for a geometry-optimized DyY2Te2 structure.

Output
Formation energy from raw total energies: -1.001 eV/atom
Fermi-level density of states: 7.7 states/eV/cell
Energy: -28.82 eV per formula unit

Unit cell a=6.1713 b=4.1105 c=12.1442 alpha=90.00 beta=100.28 gamma=90.00
Space group P2_1/m (No. 11)
Inequivalent atoms, fractional coordinates:
Dy (0.2157, 0.2500, 0.4656)
Y (0.1113, 0.2500, 0.7406)
Y (0.2766, 0.2500, 0.1198)
Te (0.2376, 0.7500, 0.9274)
Te (0.4130, 0.7500, 0.3146)

---

2.
## DyY3Te3 (PBE)

Data for a geometry-optimized DyY3Te3 structure.

Output
Formation energy from raw total energies: -1.034 eV/atom
Fermi-level density of states: 37.8 states/eV/cell
Energy: -40.66 eV per formula unit

Unit cell a=8.9779 b=8.9779 c=17.7820 alpha=90.00 beta=90.00 gamma=120.00
Space group R-3 (No. 148, hexagonal axes)
Inequivalent atoms, fractional coordinates:
Dy (0.0000, 0.0000, 0.1881)
Y (0.0075, 0.2490, 0.4146)
Te (0.0198, 0.4013, 0.5812)

---

3.
## Dy2YTe4 (PBE)

Data for a geometry-optimized Dy2YTe4 structure.

Output
E above lowest polymorph: 0.000 eV/atom
Formation energy from raw total energies: -1.391 eV/atom
Fermi-level density of states: 6.6 states/eV/cell
Energy: -37.97 eV per formula unit

Unit cell a=16.2956 b=4.3473 c=7.5704 alpha=90.00 beta=117.33 gamma=90.00
Space group C2/m (No. 12)
Inequivalent atoms, fractional coordinates:
Dy (0.2440, 0.0000, 0.2300)
Y (0.0000, 0.5000, 0.5000)
Te (0.1208, 0.5000, 0.9524)
Te (0.1293, 0.0000, 0.4670)

---

4.
## DyY2Te (PBE)

Data for a geometry-optimized DyY2Te structure.

Output
E above lowest polymorph: 0.120 eV/atom
Formation energy from raw total energies: -0.553 eV/atom
Fermi-level density of states: 15.5 states/eV/cell
Energy: -22.88 eV per formula unit

Unit cell a=3.8957 b=3.8957 c=29.2042 alpha=90.00 beta=90.00 gamma=120.00
Space group R3m (No. 160, hexagonal axes)
Inequivalent atoms, fractional coordinates:
Dy (0.0000, 0.0000, 0.0000)
Y (0.0000, 0.0000, 0.2385)
Y (0.0000, 0.0000, 0.4275)
Te (0.0000, 0.0000, 0.8332)